No. 1
VASP calculation (PBE-GGA) on AlBi2H after structural relaxation.

Computed properties:
* DOS(E_F): 2.4 states/eV/f.u.
* electronic total energy: -3.233 eV per atom

Cell: 7.0291 7.0291 7.0291 Å, 90.00 90.00 90.00°
Space group Fm-3m (No. 225)
Inequivalent atoms, fractional coordinates:
Al1 0.0000 0.0000 0.0000 [4 per cell]
Bi1 0.2500 0.2500 0.2500 [8 per cell]
H1 0.0000 0.0000 0.5000 [4 per cell]



No. 2
VASP calculation (PBE-GGA) on AlHgBi2H after structural relaxation.

Computed properties:
* DOS(E_F): 1.5 states/eV/f.u.
* electronic total energy: -2.901 eV per atom

Cell: 5.8194 5.8194 3.3969 Å, 90.00 90.00 90.00°
Space group P4/mmm (No. 123)
Inequivalent atoms, fractional coordinates:
Al1 0.0000 0.0000 0.0000 [1 per cell]
Hg1 0.5000 0.5000 0.5000 [1 per cell]
Bi1 0.0000 0.5000 0.0000 [2 per cell]
H1 0.0000 0.0000 0.5000 [1 per cell]



No. 3
VASP calculation (PBE-GGA) on La2AlBiH after structural relaxation.

Computed properties:
* DOS(E_F): 3.7 states/eV/f.u.
* electronic total energy: -4.626 eV per atom

Cell: 5.1171 5.1171 4.5252 Å, 90.00 90.00 90.00°
Space group P4/mmm (No. 123)
Inequivalent atoms, fractional coordinates:
La1 0.0000 0.5000 0.0000 [2 per cell]
Al1 0.0000 0.0000 0.5000 [1 per cell]
Bi1 0.5000 0.5000 0.5000 [1 per cell]
H1 0.0000 0.0000 0.0000 [1 per cell]